Here is a relaxed FePdO crystal from the Alexandria database. Energies are from PBE+U.

Lattice parameters (Å, degrees): 9.9307 2.9742 6.9346 90.00 129.24 90.00
Closest atoms and distances in Å follow each position.
Space group C2/m (No. 12)
One atom of each set of equivalent atoms:
Fe1 0.2440 0.0000 0.3079 (multiplicity 4)  3 O 1.99-2.03
Pd1 0.0987 0.5000 0.9154 (multiplicity 4)  2 O 2.53, 3 Fe 2.59-2.81
O1 0.1187 0.0000 0.4524 (multiplicity 4)  3 Fe 1.99-2.03

Computed properties:
The total energy comes out at -5.75 eV/atom. The value obtained for the calculated volume is 158.6 Å³ per cell.